Entry 1:
A geometry-optimized Zr3TaAs structure. Source: Alexandria via LeMat-Bulk, functional GGA-PBE.

a = 4.9489 Å, b = 4.9489 Å, c = 4.9489 Å
α = 90.00°, β = 90.00°, γ = 90.00°
Last column: nearest neighbours and their distance in Å.
Atoms (fractional coordinates):
1 As 0.0000 0.0000 0.0000  6 Zr 2.47
2 Zr 0.0000 0.5000 0.0000  2 As 2.47
3 Zr 0.0000 0.0000 0.5000  2 As 2.47
4 Zr 0.5000 0.0000 0.0000  2 As 2.47
5 Ta 0.5000 0.5000 0.5000  12 Zr 3.50

Summary:
Total energy: -8.128 eV per atom
Formation energy: 1.51 eV per formula unit
Space-group type: Pm-3m (221)
ΔE to the lowest computed polymorph: 0.00 eV per formula unit

Entry 2:
A geometry-optimized ZrTaAs3 structure. Source: Alexandria via LeMat-Bulk, functional GGA-PBE.

a = 4.9380 Å, b = 4.9380 Å, c = 4.9380 Å
α = 90.00°, β = 90.00°, γ = 90.00°
Last column: nearest neighbours and their distance in Å.
Atoms (fractional coordinates):
1 As 0.0000 0.5000 0.0000  2 Ta 2.47
2 As 0.0000 0.0000 0.5000  2 Ta 2.47
3 As 0.5000 0.0000 0.0000  2 Ta 2.47
4 Zr 0.5000 0.5000 0.5000  12 As 3.49
5 Ta 0.0000 0.0000 0.0000  6 As 2.47

Summary:
Total energy: -6.520 eV per atom
Formation energy: 1.75 eV per formula unit
Space-group type: Pm-3m (221)
ΔE to the lowest computed polymorph: 0.00 eV per formula unit

Entry 3:
A geometry-optimized ZrTaAs2 structure. Source: Alexandria via LeMat-Bulk, functional GGA-PBE.

a = 4.7170 Å, b = 4.7170 Å, c = 4.7170 Å
α = 60.00°, β = 60.00°, γ = 60.00°
Last column: nearest neighbours and their distance in Å.
Atoms (fractional coordinates):
1 As 0.0000 0.0000 0.0000  4 Zr 2.89, 4 As 2.89
2 As 0.2500 0.2500 0.2500  4 As 2.89, 4 Ta 2.89
3 Zr 0.7500 0.7500 0.7500  4 Ta 2.89, 4 As 2.89
4 Ta 0.5000 0.5000 0.5000  4 As 2.89, 4 Zr 2.89

Summary:
Total energy: -7.316 eV per atom
Formation energy: 0.43 eV per formula unit
Space-group type: F-43m (216)
ΔE to the lowest computed polymorph: 3.15 eV per formula unit

Entry 4:
A geometry-optimized ZrTaAs2 structure. Source: Alexandria via LeMat-Bulk, functional GGA-PBE.

a = 6.0691 Å, b = 6.0691 Å, c = 6.0691 Å
α = 144.10°, β = 144.10°, γ = 51.68°
Last column: nearest neighbours and their distance in Å.
Atoms (fractional coordinates):
1 As 0.0000 0.0000 0.0000  4 Ta 2.65
2 As 0.2500 0.7500 0.5000  4 Zr 2.65
3 Zr 0.7500 0.2500 0.5000  4 As 2.65
4 Ta 0.5000 0.5000 0.0000  4 As 2.65

Summary:
Total energy: -7.687 eV per atom
Formation energy: -1.05 eV per formula unit
Space-group type: I-4m2 (119)
ΔE to the lowest computed polymorph: 1.67 eV per formula unit

Which of these has the lowest formation energy?
number 4